P) Density functional theory data (PBE-GGA) for a geometry-optimized ThCdPd6 structure.

abc: 4.176 4.176 8.069
angles: 90.00 90.00 90.00
Positions (direct):
Pd (0.500, 0.500, 0.500)
Cd (0.000, 0.000, 0.000)
Pd (0.500, 0.000, 0.756)
Pd (0.000, 0.500, 0.244)
Pd (0.000, 0.500, 0.756)
Th (0.000, 0.000, 0.500)
Pd (0.500, 0.500, 0.000)
Pd (0.500, 0.000, 0.244)

Results
- crystal system = tetragonal
- space group = P4/mmm, No. 123

Q) Density functional theory data (PBE-GGA) for a geometry-optimized ThCdPd6 structure.

abc: 4.695 5.880 5.880
angles: 120.01 90.00 90.00
Positions (direct):
Pd (0.000, 0.585, 0.415)
Cd (0.500, 0.417, 0.583)
Pd (0.000, 0.585, 0.920)
Pd (0.500, 0.912, 0.573)
Pd (0.000, 0.080, 0.415)
Pd (0.500, 0.911, 0.089)
Th (0.000, 0.083, 0.917)
Pd (0.500, 0.427, 0.088)

Results
- crystal system = hexagonal
- space group = P-6m2, No. 187

Pick the least stable structure from those above. Pick: Q)